Entry 1:
SiHg4Rh PBE-GGA optimized geometry; formation energy from raw total energies = 676 meV per atom; SG = No. 216; energy = -1.655 eV per atom
1.0
-0.214 -5.430 1.632
-3.665 -1.612 4.020
-4.483 -3.198 -1.366
Si Hg Rh
1 4 1
Cartesian
0.000 0.000 0.000
-3.246 -6.551 2.423
-5.374 -5.438 0.928
-4.966 -4.647 3.613
-3.139 -3.844 1.609
-6.272 -7.680 3.215

Entry 2:
Pm8Er4Tm PBE-GGA optimized geometry; calculated formation energy = 0.201 eV per atom; SG = No. 166; energy = -4.471 eV per atom
1.0
6.363 0.000 -3.433
-4.107 5.950 0.000
1.454 1.005 10.308
Pm Er Tm
8 4 1
Cartesian
0.953 5.050 1.765
2.757 1.904 5.110
2.570 1.774 1.283
6.278 1.950 4.024
1.140 5.180 5.593
4.049 5.179 4.023
-0.339 1.774 2.852
-2.568 5.004 2.852
0.000 0.000 0.000
-2.054 2.975 0.000
1.128 2.975 -1.717
3.181 0.000 -1.716
-1.326 3.477 5.154

Entry 3:
Tm3UTl3Te8 PBE-GGA optimized geometry; formation energy from raw total energies = -941 meV per atom; SG = No. 166; energy = -4.737 eV per atom
1.0
-4.366 -5.928 -4.733
8.019 -1.830 2.990
-7.176 0.096 6.498
Tm U Tl Te
3 1 3 8
Cartesian
-5.771 -2.916 0.883
-1.762 -3.831 2.377
0.421 -0.867 4.744
-3.588 0.048 3.249
0.000 0.000 0.000
4.009 -0.915 1.495
1.827 -3.879 -0.872
0.994 -2.496 2.210
-4.517 -5.166 2.545
-1.203 -5.448 -0.159
-2.320 -2.214 4.914
-5.183 -4.539 -1.643
1.660 -3.123 6.397
-3.016 -1.597 0.706
-0.507 -6.065 4.049

Entry 4:
NaCeGdIn PBE-GGA optimized geometry; calculated formation energy = -0.040 eV per atom; SG = No. 216; energy = -6.058 eV per atom
1.0
-2.911 4.654 0.001
-3.994 0.738 3.692
0.649 3.642 4.055
Na Gd Ce In
1 1 1 1
Cartesian
-1.564 2.258 1.937
-3.128 4.517 3.874
0.000 0.000 0.000
-4.692 6.775 5.812